# CoNiRu2

CoNiRu2 after structural relaxation (GGA-PBE, Alexandria via LeMat-Bulk).

Geometry as POSCAR:
```
CoNiRu2
1.0
2.611 -3.650 0.000
2.611 3.650 0.000
0.000 0.000 2.612
Co Ni Ru
1 1 2
Direct
0.000 0.000 0.000
0.500 0.500 0.000
0.000 0.500 0.500
0.500 0.000 0.500
```

Output
energy of formation	0.176	eV/atom
size of the total moment	1.5	μB/cell
space-group type	Cmmm, No. 65
VASP energy	-7.684	eV per atom
theoretical density	10.7	g/cm3